This record from Alexandria describes a relaxed In2PRh crystal. The functional is PBEsol.

Summary:
- ΔE_f: -105 kJ/mol of formula units
- D(E_F): 1.42 states/eV/cell
- Crystal system: orthorhombic
- Symmetry: No. 38
- Electronic total energy: -5.25 eV/atom

Unit cell a=3.891 b=5.146 c=5.146 alpha=44.88 beta=90.00 gamma=90.00
Element x y z (fractional)
In 0.000 0.000 0.000
In 0.500 0.298 0.298
P 0.000 0.723 0.723
Rh 0.500 0.583 0.583